w) This record from Alexandria via LeMat-Bulk describes a relaxed structure of Pm3Pr2Sm7. The functional is PBE.

Structure (CIF):
```
data_Pm3Pr2Sm7
_chemical_formula_sum 'Pm3 Pr2 Sm7'
_cell_length_a 6.483
_cell_length_b 3.593
_cell_length_c 17.905
_cell_angle_alpha 90.00
_cell_angle_beta 96.18
_cell_angle_gamma 90.00
_symmetry_space_group_name_H-M 'P 1 2/m 1'
_symmetry_Int_Tables_number 10
loop_
_symmetry_equiv_pos_as_xyz
'x,y,z'
'-x,-y,-z'
'-x,y,-z'
'x,-y,z'
loop_
_atom_site_label
_atom_site_fract_x
_atom_site_fract_y
_atom_site_fract_z
_atom_site_occupancy
Pm1 0.000 0.000 0.000 1
Pm2 0.049 0.500 0.660 1
Pr1 0.442 0.000 0.329 1
Sm1 0.226 0.500 0.164 1
Sm2 0.243 0.000 0.501 1
Sm3 0.274 0.000 0.834 1
Sm4 0.500 0.500 0.000 1
```

For the magnetic moment, the calculation gives 0.0 μB per cell.

---

x) This record from Alexandria via LeMat-Bulk describes a relaxed structure of Pm3Pr2Sm7. The functional is PBE.

Structure (CIF):
```
data_Pm3Pr2Sm7
_chemical_formula_sum 'Pm3 Pr2 Sm7'
_cell_length_a 5.958
_cell_length_b 3.640
_cell_length_c 19.237
_cell_angle_alpha 90.00
_cell_angle_beta 93.19
_cell_angle_gamma 90.00
_symmetry_space_group_name_H-M 'P 1 2/m 1'
_symmetry_Int_Tables_number 10
loop_
_symmetry_equiv_pos_as_xyz
'x,y,z'
'-x,-y,-z'
'-x,y,-z'
'x,-y,z'
loop_
_atom_site_label
_atom_site_fract_x
_atom_site_fract_y
_atom_site_fract_z
_atom_site_occupancy
Pm1 0.000 0.000 0.000 1
Pm2 0.280 0.500 0.632 1
Pr1 0.209 0.000 0.294 1
Sm1 0.184 0.500 0.143 1
Sm2 0.243 0.000 0.463 1
Sm3 0.314 0.000 0.825 1
Sm4 0.500 0.500 0.000 1
```

For the magnetic moment, the calculation gives 0.0 μB per cell.

---

Most stable: w)

---

w) This record from Alexandria via LeMat-Bulk describes a relaxed structure of Pm4Pr3Sm2. The functional is PBE.

Structure (CIF):
```
data_Pm4Pr3Sm2
_chemical_formula_sum 'Pm4 Pr3 Sm2'
_cell_length_a 3.6642
_cell_length_b 3.6642
_cell_length_c 27.3606
_cell_angle_alpha 90.00
_cell_angle_beta 90.00
_cell_angle_gamma 120.00
_symmetry_space_group_name_H-M 'P 3 m 1'
_symmetry_Int_Tables_number 156
loop_
_symmetry_equiv_pos_as_xyz
'x,y,z'
'-y,x-y,z'
'-x+y,-x,z'
'-y,-x,z'
'-x+y,y,z'
'x,x-y,z'
loop_
_atom_site_label
_atom_site_fract_x
_atom_site_fract_y
_atom_site_fract_z
_atom_site_occupancy
Pm1 0.0000 0.0000 0.0000 1
Pm2 0.0000 0.0000 0.2203 1
Pm3 0.3333 0.6667 0.3273 1
Pm4 0.3333 0.6667 0.5500 1
Pr1 0.0000 0.0000 0.4386 1
Pr2 0.3333 0.6667 0.1067 1
Pr3 0.3333 0.6667 0.7691 1
Sm1 0.0000 0.0000 0.6562 1
Sm2 0.0000 0.0000 0.8750 1
```

For the magnetic moment, the calculation gives 0.0 μB per cell.

---

x) This record from Alexandria via LeMat-Bulk describes a relaxed structure of Pm4Pr3Sm2. The functional is PBE.

Structure (CIF):
```
data_Pm4Pr3Sm2
_chemical_formula_sum 'Pm4 Pr3 Sm2'
_cell_length_a 6.350
_cell_length_b 6.354
_cell_length_c 9.700
_cell_angle_alpha 70.92
_cell_angle_beta 89.97
_cell_angle_gamma 60.04
_symmetry_space_group_name_H-M 'P -1'
_symmetry_Int_Tables_number 2
loop_
_symmetry_equiv_pos_as_xyz
'x,y,z'
'-x,-y,-z'
loop_
_atom_site_label
_atom_site_fract_x
_atom_site_fract_y
_atom_site_fract_z
_atom_site_occupancy
Pm1 0.111 0.112 0.333 1
Pm2 0.333 0.332 0.000 1
Pr1 0.000 0.000 0.000 1
Pr2 0.445 0.444 0.334 1
Sm1 0.222 0.222 0.666 1
```

For the magnetic moment, the calculation gives 0.0 μB per cell.

---

Most stable: x)